BaScCo2 | PBE-GGA | relaxed

The structure belongs to space group Pmmm (No. 47); the cell edges are 3.468, 3.563 and 7.151 Å and the angles 90.00°, 90.00° and 90.00°. Symmetry generates all atoms from Ba at (0.000, 0.000, 0.000), Sc at (0.000, 0.000, 0.500) and Co at (0.500, 0.500, 0.341).

The energy relative to the elements comes out at 5.38 kcal/mol of atoms. For the excess energy over the best structure of this formula in the dataset, the calculation gives 0.1513 eV per atom. The density of states at the Fermi level comes out at 5.1 states/eV per cell.